Crystalline TaSnBiRu at its relaxed geometry. Source: Alexandria via LeMat-Bulk, functional GGA-PBE.

a b c (Å): 3.342 4.825 5.915
angles (deg): 113.20 90.12 90.00
Positions (direct):
Ta: 0.000 0.000 0.000
Sn: 0.501 0.575 0.143
Bi: 0.999 0.182 0.569
Ru: 0.499 0.720 0.677

The formation energy from the elements comes out at 0.237 eV per atom. Its symmetry is P1. The value obtained for the polymorph energy (0 for the lowest one) is 108 kJ/mol of formula units. The mass density is 11.55 g cm⁻³.


Crystalline MgCo2Ir at its relaxed geometry. Source: Alexandria via LeMat-Bulk, functional GGA-PBE.

a b c (Å): 3.788 3.788 3.702
angles (deg): 90.00 90.00 90.00
Positions (direct):
Mg: 0.000 0.000 0.000
Co: 0.000 0.500 0.500
Co: 0.500 0.000 0.500
Ir: 0.500 0.500 0.000

The formation energy from the elements comes out at 0.078 eV per atom. Its symmetry is P4/mmm. The mass density is 10.45 g cm⁻³.


Crystalline Tb2PuScSe4 at its relaxed geometry. Source: Alexandria via LeMat-Bulk, functional GGA-PBE.

a b c (Å): 7.030 4.038 7.031
angles (deg): 90.00 109.14 90.00
Positions (direct):
Tb: 0.000 0.000 0.000
Tb: 0.000 0.500 0.500
Pu: 0.500 0.000 0.500
Sc: 0.500 0.500 0.000
Se: 0.253 0.500 0.243
Se: 0.260 0.000 0.762
Se: 0.740 0.000 0.238
Se: 0.747 0.500 0.757

For the uncorrected formation energy, the calculation gives -13.38 eV per formula unit. Its symmetry is P2/m. The mass density is 8.13 g cm⁻³.


Crystalline CePr4Mg5 at its relaxed geometry. Source: Alexandria via LeMat-Bulk, functional GGA-PBE.

a b c (Å): 3.885 3.885 19.612
angles (deg): 90.00 90.00 90.00
Positions (direct):
Ce: 0.000 0.000 0.000
Pr: 0.000 0.000 0.198
Pr: 0.000 0.000 0.399
Pr: 0.000 0.000 0.601
Pr: 0.000 0.000 0.802
Mg: 0.500 0.500 0.097
Mg: 0.500 0.500 0.299
Mg: 0.500 0.500 0.500
Mg: 0.500 0.500 0.701
Mg: 0.500 0.500 0.903

The formation energy from the elements comes out at -0.073 eV per atom. Its symmetry is P4/mmm. The mass density is 4.63 g cm⁻³.


Crystalline Y2HoHg5 at its relaxed geometry. Source: Alexandria via LeMat-Bulk, functional GGA-PBE.

a b c (Å): 8.167 8.167 8.167
angles (deg): 142.86 142.86 53.53
Positions (direct):
Y: 0.236 0.236 0.000
Y: 0.764 0.764 0.000
Ho: 0.500 0.500 0.000
Hg: 0.000 0.000 0.000
Hg: 0.123 0.623 0.500
Hg: 0.377 0.877 0.500
Hg: 0.623 0.123 0.500
Hg: 0.877 0.377 0.500

The formation energy from the elements comes out at -0.427 eV per atom. Its symmetry is I4/mmm. The mass density is 11.33 g cm⁻³.


Crystalline CsBS2 at its relaxed geometry. Source: Alexandria via LeMat-Bulk, functional GGA-PBE.

a b c (Å): 3.404 3.404 8.219
angles (deg): 90.00 90.00 120.00
Positions (direct):
Cs: 0.000 0.000 0.000
B: 0.667 0.333 0.535
S: 0.000 0.000 0.407
S: 0.333 0.667 0.686

For the uncorrected formation energy, the calculation gives 1.17 eV per formula unit. Its symmetry is P3m1. The value obtained for the polymorph energy (0 for the lowest one) is 455 kJ/mol of formula units. The mass density is 4.18 g cm⁻³.


Crystalline RuCSeN at its relaxed geometry. Source: Alexandria via LeMat-Bulk, functional GGA-PBE.

a b c (Å): 3.260 3.623 6.187
angles (deg): 80.55 75.26 89.93
Positions (direct):
Ru: 0.000 0.000 0.000
C: 0.071 0.551 0.854
Se: 0.197 0.374 0.592
N: 0.427 0.956 0.152

For the uncorrected formation energy, the calculation gives 3.49 eV per formula unit. Its symmetry is P1. The value obtained for the polymorph energy (0 for the lowest one) is 236 kJ/mol of formula units. The mass density is 4.91 g cm⁻³.


Crystalline In12AgHg7 at its relaxed geometry. Source: Alexandria via LeMat-Bulk, functional GGA-PBE.

a b c (Å): 8.341 8.341 8.341
angles (deg): 102.89 102.89 102.89
Positions (direct):
In: 0.090 0.685 0.099
In: 0.099 0.090 0.685
In: 0.228 0.495 0.746
In: 0.254 0.772 0.505
In: 0.315 0.901 0.910
In: 0.495 0.746 0.228
In: 0.505 0.254 0.772
In: 0.685 0.099 0.090
In: 0.746 0.228 0.495
In: 0.772 0.505 0.254
In: 0.901 0.910 0.315
In: 0.910 0.315 0.901
Ag: 0.500 0.500 0.500
Hg: 0.000 0.000 0.000
Hg: 0.103 0.358 0.343
Hg: 0.343 0.103 0.358
Hg: 0.358 0.343 0.103
Hg: 0.642 0.657 0.897
Hg: 0.657 0.897 0.642
Hg: 0.897 0.642 0.657

The formation energy from the elements comes out at 0.042 eV per atom. Its symmetry is R-3. The mass density is 9.09 g cm⁻³.


Crystalline La4Pr2Hg at its relaxed geometry. Source: Alexandria via LeMat-Bulk, functional GGA-PBE.

a b c (Å): 8.770 8.770 8.803
angles (deg): 116.75 116.75 24.10
Positions (direct):
La: 0.082 0.082 0.198
La: 0.374 0.374 0.125
La: 0.626 0.626 0.875
La: 0.918 0.918 0.802
Pr: 0.216 0.216 0.641
Pr: 0.784 0.784 0.359
Hg: 0.000 0.000 0.500

The formation energy from the elements comes out at -0.029 eV per atom. Its symmetry is C2/m. The mass density is 7.02 g cm⁻³.


Crystalline Li3In3Bi at its relaxed geometry. Source: Alexandria via LeMat-Bulk, functional GGA-PBE.

a b c (Å): 8.656 8.656 8.656
angles (deg): 90.00 90.00 90.00
Positions (direct):
Li: 0.009 0.311 0.886
Li: 0.114 0.509 0.189
Li: 0.189 0.114 0.509
Li: 0.311 0.886 0.009
Li: 0.386 0.491 0.689
Li: 0.491 0.689 0.386
Li: 0.509 0.189 0.114
Li: 0.614 0.991 0.811
Li: 0.689 0.386 0.491
Li: 0.811 0.614 0.991
Li: 0.886 0.009 0.311
Li: 0.991 0.811 0.614
In: 0.055 0.445 0.555
In: 0.153 0.153 0.153
In: 0.178 0.822 0.322
In: 0.322 0.178 0.822
In: 0.347 0.847 0.653
In: 0.445 0.555 0.055
In: 0.555 0.055 0.445
In: 0.653 0.347 0.847
In: 0.678 0.678 0.678
In: 0.822 0.322 0.178
In: 0.847 0.653 0.347
In: 0.945 0.945 0.945
Bi: 0.128 0.628 0.872
Bi: 0.372 0.372 0.372
Bi: 0.628 0.872 0.128
Bi: 0.872 0.128 0.628

The formation energy from the elements comes out at -0.217 eV per atom. Its symmetry is P2_13. The value obtained for the polymorph energy (0 for the lowest one) is 0 kJ/mol of formula units. The mass density is 5.88 g cm⁻³.


Crystalline Hf2ZrTiCu at its relaxed geometry. Source: Alexandria via LeMat-Bulk, functional GGA-PBE.

a b c (Å): 4.806 4.806 4.708
angles (deg): 90.00 90.00 90.00
Positions (direct):
Hf: 0.000 0.500 0.000
Hf: 0.500 0.000 0.000
Zr: 0.000 0.000 0.500
Ti: 0.500 0.500 0.000
Cu: 0.500 0.500 0.500

The formation energy from the elements comes out at 0.836 eV per atom. Its symmetry is P4/mmm. The mass density is 8.54 g cm⁻³.


Crystalline YTcMo3 at its relaxed geometry. Source: Alexandria via LeMat-Bulk, functional GGA-PBE.

a b c (Å): 4.770 4.770 4.770
angles (deg): 90.00 90.00 90.00
Positions (direct):
Y: 0.000 0.000 0.000
Tc: 0.500 0.500 0.500
Mo: 0.000 0.500 0.500
Mo: 0.500 0.000 0.500
Mo: 0.500 0.500 0.000

The formation energy from the elements comes out at 1.042 eV per atom. Its symmetry is Pm-3m. The value obtained for the polymorph energy (0 for the lowest one) is 0 kJ/mol of formula units. The mass density is 7.26 g cm⁻³.


Crystalline LiSbNF2 at its relaxed geometry. Source: Alexandria via LeMat-Bulk, functional GGA-PBE.

a b c (Å): 3.564 3.564 4.376
angles (deg): 90.00 90.00 90.00
Positions (direct):
Li: 0.000 0.000 0.000
Sb: 0.500 0.500 0.500
N: 0.000 0.000 0.500
F: 0.000 0.500 0.000
F: 0.500 0.000 0.000

For the uncorrected formation energy, the calculation gives -4.61 eV per formula unit. Its symmetry is P4/mmm. The value obtained for the polymorph energy (0 for the lowest one) is 40 kJ/mol of formula units. The mass density is 5.40 g cm⁻³.


Crystalline CeGdNi at its relaxed geometry. Source: Alexandria via LeMat-Bulk, functional GGA-PBE.

a b c (Å): 4.538 4.538 3.792
angles (deg): 90.00 90.00 120.00
Positions (direct):
Ce: 0.000 0.000 0.000
Gd: 0.333 0.667 0.596
Ni: 0.667 0.333 0.282

The formation energy from the elements comes out at -0.012 eV per atom. Its symmetry is P3m1. The value obtained for the polymorph energy (0 for the lowest one) is 41 kJ/mol of formula units. The mass density is 8.74 g cm⁻³.


Crystalline LiYIn2Pd4 at its relaxed geometry. Source: Alexandria via LeMat-Bulk, functional GGA-PBE.

a b c (Å): 8.145 8.145 8.145
angles (deg): 33.17 33.17 33.17
Positions (direct):
Li: 0.000 0.000 0.000
Y: 0.500 0.500 0.500
In: 0.255 0.255 0.255
In: 0.745 0.745 0.745
Pd: 0.115 0.115 0.115
Pd: 0.375 0.375 0.375
Pd: 0.625 0.625 0.625
Pd: 0.885 0.885 0.885

The formation energy from the elements comes out at -0.681 eV per atom. Its symmetry is R-3m. The mass density is 8.66 g cm⁻³.


Crystalline TbPr2Er7 at its relaxed geometry. Source: Alexandria via LeMat-Bulk, functional GGA-PBE.

a b c (Å): 11.166 11.166 3.444
angles (deg): 90.00 90.00 123.11
Positions (direct):
Tb: 0.000 0.000 0.000
Pr: 0.320 0.680 0.500
Pr: 0.680 0.320 0.500
Er: 0.144 0.315 0.500
Er: 0.171 0.829 0.000
Er: 0.315 0.144 0.500
Er: 0.500 0.500 0.500
Er: 0.685 0.856 0.500
Er: 0.829 0.171 0.000
Er: 0.856 0.685 0.500

The formation energy from the elements comes out at 0.477 eV per atom. Its symmetry is Cmmm. The value obtained for the polymorph energy (0 for the lowest one) is 438 kJ/mol of formula units. The mass density is 7.44 g cm⁻³.


Crystalline BaSrGeP2 at its relaxed geometry. Source: Alexandria via LeMat-Bulk, functional GGA-PBE.

a b c (Å): 7.342 5.221 8.306
angles (deg): 90.00 105.36 90.00
Positions (direct):
Ba: 0.000 0.212 0.250
Ba: 0.000 0.788 0.750
Sr: 0.500 0.474 0.750
Sr: 0.500 0.526 0.250
Ge: 0.500 0.000 0.000
Ge: 0.500 0.000 0.500
P: 0.236 0.260 0.950
P: 0.236 0.740 0.450
P: 0.764 0.260 0.550
P: 0.764 0.740 0.050

The formation energy from the elements comes out at -0.529 eV per atom. Its symmetry is P2/c. The mass density is 3.89 g cm⁻³.


Crystalline Be3GePt at its relaxed geometry. Source: Alexandria via LeMat-Bulk, functional GGA-PBE.

a b c (Å): 4.295 4.295 4.295
angles (deg): 90.00 90.00 90.00
Positions (direct):
Be: 0.000 0.000 0.500
Be: 0.000 0.500 0.000
Be: 0.500 0.000 0.000
Ge: 0.500 0.500 0.500
Pt: 0.000 0.000 0.000

The formation energy from the elements comes out at 0.308 eV per atom. Its symmetry is Pm-3m. The value obtained for the polymorph energy (0 for the lowest one) is 0 kJ/mol of formula units. The mass density is 6.18 g cm⁻³.


Crystalline TlCIO2 at its relaxed geometry. Source: Alexandria via LeMat-Bulk, functional GGA-PBE.

a b c (Å): 4.015 4.015 7.860
angles (deg): 90.00 90.00 90.00
Positions (direct):
Tl: 0.000 0.000 0.000
C: 0.500 0.500 0.500
I: 0.000 0.000 0.500
O: 0.000 0.500 0.000
O: 0.500 0.000 0.000

For the uncorrected formation energy, the calculation gives 6.87 eV per formula unit. Its symmetry is P4/mmm. The value obtained for the polymorph energy (0 for the lowest one) is 74 kJ/mol of formula units. The mass density is 4.92 g cm⁻³.


Crystalline Sm5Y6Th at its relaxed geometry. Source: Alexandria via LeMat-Bulk, functional GGA-PBE.

a b c (Å): 6.242 6.242 11.852
angles (deg): 95.03 95.03 119.98
Positions (direct):
Sm: 0.000 0.000 0.000
Sm: 0.167 0.833 0.500
Sm: 0.333 0.667 0.000
Sm: 0.667 0.333 0.000
Sm: 0.833 0.167 0.500
Y: 0.088 0.417 0.251
Y: 0.253 0.253 0.748
Y: 0.417 0.088 0.251
Y: 0.583 0.912 0.749
Y: 0.747 0.747 0.252
Y: 0.912 0.583 0.749
Th: 0.500 0.500 0.500

The formation energy from the elements comes out at 0.022 eV per atom. Its symmetry is C2/m. The mass density is 6.40 g cm⁻³.